No. 1
FeMoO3 | PBE+U | optimized geometry

Cell lengths 3.697, 3.697, 3.697 Å; angles 90.00, 90.00, 90.00 degrees
Space group Pm-3m (No. 221)
Unique sites:
Fe: 0.000 0.000 0.000
Mo: 0.500 0.500 0.500
O: 0.000 0.000 0.500

Calculated values
Mass density, kg/m3: 6567
E, eV/f.u.: -29.02
Total magnetization, μB per formula unit: 2.0

No. 2
FeMoO3 | PBE+U | optimized geometry

Cell lengths 3.924, 3.924, 3.924 Å; angles 90.00, 90.00, 90.00 degrees
Space group Pm-3m (No. 221)
Unique sites:
Fe: 0.000 0.000 0.000
Mo: 0.500 0.500 0.500
O: 0.000 0.500 0.500

Calculated values
Mass density, kg/m3: 5492
E, eV/f.u.: -32.14
Total magnetization, μB per formula unit: 4.6

No. 3
FeMoO3 | PBE+U | optimized geometry

Cell lengths 12.304, 3.311, 6.338 Å; angles 90.00, 118.68, 90.00 degrees
Space group C2/m (No. 12)
Unique sites:
Fe: 0.124 0.000 0.276
Mo: 0.147 0.500 0.748
O: 0.040 0.500 0.352
O: 0.152 0.000 0.980
O: 0.216 0.000 0.643

Calculated values
Mass density, kg/m3: 5858
E, eV/f.u.: -35.03
Total magnetization, μB per formula unit: 6.0

No. 4
FeMo2O | PBE+U | optimized geometry

Cell lengths 6.914, 6.914, 5.011 Å; angles 90.00, 90.00, 90.00 degrees
Space group I-42d (No. 122)
Unique sites:
Fe: 0.000 0.000 0.000
Mo: 0.146 0.250 0.625
O: 0.000 0.000 0.500

Calculated values
Mass density, kg/m3: 7312
E, eV/f.u.: -21.61
Total magnetization, μB per formula unit: 3.6

No. 5
FeMo2O2 | PBE+U | optimized geometry

Cell lengths 3.496, 3.496, 10.415 Å; angles 90.00, 90.00, 90.00 degrees
Space group I4/mmm (No. 139)
Unique sites:
Fe: 0.000 0.000 0.000
Mo: 0.000 0.000 0.369
O: 0.000 0.500 0.250

Calculated values
Offset from the most stable computed form, eV per atom: 0.0000
Mass density, kg/m3: 7297
E, eV/f.u.: -29.82
Total magnetization, μB per formula unit: 3.6

No. 6
Fe2Mo3O8 | PBE+U | optimized geometry

Cell lengths 6.3128, 6.3128, 9.4200 Å; angles 90.00, 90.00, 120.00 degrees
Space group P6_3mc (No. 186)
Unique sites:
Fe: 0.3333 0.6667 0.0000
Fe: 0.3333 0.6667 0.3761
Mo: 0.1647 0.3294 0.7052
O: 0.0000 0.0000 0.3125
O: 0.0239 0.5119 0.8435
O: 0.1751 0.3503 0.1020
O: 0.3333 0.6667 0.5812

Calculated values
Mass density, kg/m3: 5389
E, eV/f.u.: -91.24
Total magnetization, μB per formula unit: 18.0